Entry from the Alexandria database: an optimized crystal structure of CaVTe3 (PBE).

Summary:
E   -22.37 eV/cell
Symmetry   No. 221
Total magnetic moment   1.56 μB per cell

Structure (POSCAR):
```
CaVTe3
1.0
-4.698 -2.312 1.079
0.668 -3.296 -4.156
2.463 -3.517 3.185
Ca Te V
1 3 1
direct
0.500 0.500 0.500 Ca
0.000 0.500 0.000 Te
0.000 0.000 0.500 Te
0.500 0.000 0.000 Te
0.000 0.000 0.000 V
```